The following is a GGA-PBE calculation of a relaxed structure of Cs5NaAu2, from Alexandria.

a = 10.1555 Å, b = 10.1555 Å, c = 11.7961 Å
α = 115.51°, β = 115.51°, γ = 89.99°
Sites, in units of the cell vectors:
Au: 0.3557 0.8557 0.0001
Au: 0.6443 0.1443 0.9999
Au: 0.1444 0.3556 0.0000
Au: 0.8556 0.6444 0.0000
Cs: 0.0279 0.5279 0.7490
Cs: 0.7790 0.9721 0.2510
Cs: 0.7211 0.2211 0.7489
Cs: 0.2789 0.7789 0.2511
Cs: 0.5000 0.5000 0.0000
Cs: 0.4721 0.2790 0.2510
Cs: 0.9721 0.4721 0.2510
Cs: 0.2210 0.0279 0.7490
Cs: 0.0000 0.0000 0.0000
Cs: 0.5279 0.7210 0.7490
Na: 0.7500 0.7500 0.5000
Na: 0.2500 0.2500 0.5000

Space group: No. 140
Formation energy from the elements in eV/f.u.: -1.39

---

The following is a GGA-PBE calculation of a relaxed structure of CsNa2AuO, from Alexandria.

a = 4.7899 Å, b = 4.7899 Å, c = 5.9547 Å
α = 90.00°, β = 90.00°, γ = 90.00°
Sites, in units of the cell vectors:
Na: 0.0000 0.5000 0.0000
Na: 0.5000 0.0000 0.0000
O: 0.0000 0.0000 0.0000
Au: 0.5000 0.5000 0.5000
Cs: 0.0000 0.0000 0.5000

Raw formation energy in eV/atom: -0.70
ΔE to the lowest computed polymorph in meV per atom: 0
Space group: No. 123

---

The following is a GGA-PBE calculation of a relaxed structure of CsNa2AuO, from Alexandria.

a = 4.3152 Å, b = 7.7538 Å, c = 8.7335 Å
α = 90.00°, β = 90.00°, γ = 106.16°
Each line ends with the local moment (μB).
Sites, in units of the cell vectors:
Au: 0.7348 0.4697 0.7500  0.00
Au: 0.2652 0.5303 0.2500  0.00
Na: 0.8580 0.7160 0.4557  0.00
Na: 0.1420 0.2840 0.9557  0.00
Na: 0.1420 0.2840 0.5443  0.00
Na: 0.8580 0.7160 0.0443  0.00
O: 0.0000 0.0000 0.5000  0.11
O: 0.0000 0.0000 0.0000  0.11
Cs: 0.5347 0.0693 0.2500  0.00
Cs: 0.4653 0.9307 0.7500  0.00

Raw formation energy in eV/atom: -0.64
ΔE to the lowest computed polymorph in meV per atom: 54
Space group: No. 63

---

The following is a GGA-PBE calculation of a relaxed structure of Cs8NaAu2O, from Alexandria.

a = 8.4605 Å, b = 8.3548 Å, c = 11.1040 Å
α = 89.93°, β = 89.99°, γ = 85.32°
Sites, in units of the cell vectors:
Cs: 0.2829 0.2466 0.0003
Cs: 0.7171 0.7534 0.9997
Cs: 0.1604 0.7996 0.1815
Cs: 0.8389 0.2000 0.1812
Cs: 0.6265 0.7067 0.4999
Cs: 0.3735 0.2933 0.5001
Cs: 0.8396 0.2004 0.8185
Cs: 0.1611 0.8000 0.8188
Na: 0.0000 0.0000 0.5000
Au: 0.5000 0.4998 0.7744
Au: 0.5000 0.5002 0.2256
O: 0.0000 0.0000 0.0000

Raw formation energy in eV/atom: -0.32
Space group: No. 2

---

The following is a GGA-PBE calculation of a relaxed structure of CsNaAuO2, from Alexandria.

a = 5.5787 Å, b = 5.7802 Å, c = 7.1298 Å
α = 113.91°, β = 90.00°, γ = 90.00°
Each line ends with the local moment (μB).
Sites, in units of the cell vectors:
Na: 0.5000 0.2500 0.0000  0.00
Na: 0.5000 0.7500 0.0000  0.00
Au: 0.0000 0.5000 0.0000  0.21
Au: 0.0000 0.0000 0.0000  0.21
O: 0.2709 0.1003 0.2006  0.24
O: 0.2709 0.3997 0.7994  0.24
O: 0.7291 0.8997 0.7994  0.24
O: 0.7291 0.6003 0.2006  0.24
Cs: 0.7412 0.2500 0.5000  0.00
Cs: 0.2588 0.7500 0.5000  0.00

Raw formation energy in eV/atom: -0.85
Space group: No. 67

---

The following is a GGA-PBE calculation of a relaxed structure of Cs4Na2Au2O, from Alexandria.

a = 6.5826 Å, b = 7.7879 Å, c = 7.7879 Å
α = 65.22°, β = 80.23°, γ = 80.23°
Sites, in units of the cell vectors:
Na: 0.7861 0.8666 0.8666
Na: 0.2139 0.1334 0.1334
Cs: 0.3075 0.6456 0.1550
Cs: 0.6925 0.8450 0.3544
Cs: 0.3075 0.1550 0.6456
Cs: 0.6925 0.3544 0.8450
O: 0.5000 0.0000 0.0000
Au: 0.1721 0.6762 0.6762
Au: 0.8279 0.3238 0.3238

Raw formation energy in eV/atom: -0.43
Space group: No. 12

---

The following is a GGA-PBE calculation of a relaxed structure of CsNaPAu, from Alexandria.

a = 4.4990 Å, b = 5.1397 Å, c = 6.9795 Å
α = 111.60°, β = 108.80°, γ = 90.00°
Sites, in units of the cell vectors:
Au: 0.1486 0.1486 0.2971
Na: 0.6746 0.6746 0.3493
P: 0.5874 0.0874 0.1748
Cs: 0.9215 0.4215 0.8430

Space group: No. 44
Formation energy from the elements in eV/f.u.: -1.56

---

The following is a GGA-PBE calculation of a relaxed structure of CsNa2PbAu, from Alexandria.

a = 5.9977 Å, b = 5.9977 Å, c = 5.7113 Å
α = 90.00°, β = 90.00°, γ = 90.00°
Sites, in units of the cell vectors:
Na: 0.0000 0.5000 0.0000
Na: 0.5000 0.0000 0.0000
Cs: 0.5000 0.5000 0.5000
Au: 0.0000 0.0000 0.5000
Pb: 0.0000 0.0000 0.0000

ΔE to the lowest computed polymorph in meV per atom: 48
Space group: No. 123
Formation energy from the elements in eV/f.u.: -0.47